# KGeC

A relaxed KGeC crystal (PBE-GGA, Alexandria).

Results
The calculation puts the energy above the most stable polymorph in this dataset at 223 meV/atom. For the total energy, the calculation gives -13.8 eV per formula unit. The value obtained for the formation energy from the elements is 384 meV per atom. The spin magnetization comes out at 0.00 μB/cell.

a = 6.4067 Å, b = 6.4712 Å, c = 7.1484 Å
α = 90.00°, β = 99.65°, γ = 90.00°
Last column: nearest neighbours and their distance in Å.
Space group C2 (No. 5)
Asymmetric unit:
K (0.2160, 0.0000, 0.3289) x4  1 C 2.80
Ge (0.1847, 0.4572, 0.0985) x4  2 C 2.05-2.12
C (0.1071, 0.7610, 0.0002) x4  1 C 1.37